Model 1:
Compound: NdSmPdRu
Source: the Alexandria database
Functional: PBE
Structure: relaxed

abc: 5.014 5.014 5.014
angles: 60.00 60.00 60.00
Atoms (fractional coordinates):
Nd 0.000 0.000 0.000
Sm 0.500 0.500 0.500
Pd 0.250 0.250 0.250
Ru 0.750 0.750 0.750

Properties
The density of states at the Fermi level is 3.57 states/eV/cell. The space group is F-43m. The calculation puts the density at 9.4 g cm⁻³. As for the crystal system: cubic.

=====

Model 2:
Compound: NdSmPdRu
Source: the Alexandria database
Functional: PBE
Structure: relaxed

abc: 3.501 3.501 7.287
angles: 90.00 90.00 90.00
Atoms (fractional coordinates):
Nd 0.000 0.000 0.000
Sm 0.000 0.000 0.479
Pd 0.500 0.500 0.731
Ru 0.500 0.500 0.243

Properties
The density of states at the Fermi level is 1.36 states/eV/cell. The space group is P4mm. The calculation puts the density at 9.3 g cm⁻³. As for the crystal system: tetragonal.

=====

model 2 has the most favorable energy; the next structure is 39 meV per atom above.